The following is a PBE-GGA calculation of crystalline Rb2CdBi4Au3 at its relaxed geometry, from Alexandria via LeMat-Bulk.

The structure in POSCAR format:
```
Rb2CdBi4Au3
1.0
-1.6859 -1.2965 -4.5893
1.5941 -4.7409 0.7537
-10.7598 -2.8610 4.7610
Rb Cd Bi Au
2 1 4 3
Cartesian
-3.5727 -1.3741 -1.0868 Rb
-7.2330 -4.5056 3.9300 Rb
-5.4258 -4.4492 0.4627 Cd
-0.0459 -3.0187 -1.9178 Bi
0.0000 0.0000 0.0000 Bi
-7.6741 -2.4646 0.7280 Bi
-3.1316 -3.4151 2.1152 Bi
-5.3799 -1.4305 2.3805 Au
-10.2121 -3.1395 1.8510 Au
-0.5937 -2.7402 0.9922 Au
```

Symmetry: P-4m2 (115)
Total DFT energy (no corrections): -3.046 eV per atom
ΔE_f: -0.225 eV/atom